The following is a DFT calculation (GGA-PBE) of a relaxed structure of Ba2ZnTc.

Cell lengths 3.7749, 3.7873, 8.6735 Å; angles 90.00, 90.00, 90.00 degrees
Positions (direct):
Ba  0.0000  0.0000  0.2329
Ba  0.0000  0.0000  0.7671
Zn  0.5000  0.5000  0.5000
Tc  0.5000  0.5000  0.0000

Computed properties:
The calculation puts the formation energy at 0.62 eV per atom. The density of states at the Fermi level is 1.195 states/eV per atom.